Here is a geometry-optimized CdCS2Cl structure from Alexandria via LeMat-Bulk. Energies are from GGA-PBE.

a = 5.023 Å, b = 5.023 Å, c = 4.998 Å
α = 90.00°, β = 90.00°, γ = 90.00°
Positions (direct):
Cd: 0.000 0.000 0.000
C: 0.500 0.500 0.500
S: 0.000 0.500 0.000
S: 0.500 0.000 0.000
Cl: 0.000 0.000 0.500

## Properties
formation energy from raw total energies: 1886 meV/atom
relative energy among the computed polymorphs: 1045 meV/atom
crystal system: tetragonal
magnetization: 0.000 μB/f.u.



Here is a geometry-optimized InSnSb structure from Alexandria via LeMat-Bulk. Energies are from GGA-PBE.

a = 5.464 Å, b = 5.464 Å, c = 3.247 Å
α = 90.00°, β = 90.00°, γ = 120.00°
Positions (direct):
In: 0.000 0.000 0.000
Sn: 0.667 0.333 0.503
Sb: 0.333 0.667 0.556

## Properties
formation energy from raw total energies: 40 meV/atom
relative energy among the computed polymorphs: 42 meV/atom
crystal system: trigonal
magnetization: 0.000 μB/f.u.



Here is a geometry-optimized Ca2LaZnO structure from Alexandria via LeMat-Bulk. Energies are from GGA-PBE.

a = 4.785 Å, b = 4.785 Å, c = 5.151 Å
α = 90.00°, β = 90.00°, γ = 90.00°
Positions (direct):
Ca: 0.000 0.500 0.000
Ca: 0.500 0.000 0.000
La: 0.000 0.000 0.500
Zn: 0.500 0.500 0.500
O: 0.000 0.000 0.000

## Properties
formation energy from raw total energies: -1204 meV/atom
crystal system: tetragonal
magnetization: 0.000 μB/f.u.



Here is a geometry-optimized YFe2SeI structure from Alexandria via LeMat-Bulk. Energies are from GGA-PBE.

a = 4.610 Å, b = 4.610 Å, c = 5.957 Å
α = 90.00°, β = 90.00°, γ = 90.00°
Positions (direct):
Y: 0.000 0.000 0.000
Fe: 0.000 0.500 0.500
Fe: 0.500 0.000 0.500
Se: 0.500 0.500 0.000
I: 0.000 0.000 0.500

## Properties
formation energy from raw total energies: 660 meV/atom
crystal system: tetragonal
magnetization: 4.063 μB/f.u.



Here is a geometry-optimized TePbIN2 structure from Alexandria via LeMat-Bulk. Energies are from GGA-PBE.

a = 4.621 Å, b = 4.621 Å, c = 6.639 Å
α = 90.00°, β = 90.00°, γ = 90.00°
Positions (direct):
Te: 0.000 0.000 0.000
Pb: 0.500 0.500 0.500
I: 0.500 0.500 0.000
N: 0.000 0.500 0.500
N: 0.500 0.000 0.500

## Properties
formation energy from raw total energies: 1639 meV/atom
relative energy among the computed polymorphs: 271 meV/atom
crystal system: tetragonal
magnetization: 3.399 μB/f.u.



Here is a geometry-optimized TbHo5Pt6 structure from Alexandria via LeMat-Bulk. Energies are from GGA-PBE.

a = 8.542 Å, b = 8.542 Å, c = 4.947 Å
α = 106.72°, β = 106.72°, γ = 47.75°
Positions (direct):
Tb: 0.000 0.000 0.000
Ho: 0.167 0.167 0.667
Ho: 0.333 0.333 0.334
Ho: 0.500 0.500 0.000
Ho: 0.667 0.667 0.666
Ho: 0.833 0.833 0.333
Pt: 0.083 0.581 0.832
Pt: 0.252 0.748 0.500
Pt: 0.419 0.917 0.168
Pt: 0.581 0.083 0.832
Pt: 0.748 0.252 0.500
Pt: 0.917 0.419 0.168

## Properties
ΔH_f (0 K): -1237 meV/atom
crystal system: monoclinic
magnetization: 0.000 μB/f.u.



Here is a geometry-optimized Rb3I structure from Alexandria via LeMat-Bulk. Energies are from GGA-PBE.

a = 8.737 Å, b = 8.737 Å, c = 8.737 Å
α = 140.48°, β = 140.48°, γ = 57.13°
Positions (direct):
Rb: 0.000 0.000 0.000
Rb: 0.250 0.750 0.500
Rb: 0.750 0.250 0.500
I: 0.500 0.500 0.000

## Properties
formation energy from raw total energies: -518 meV/atom
relative energy among the computed polymorphs: 152 meV/atom
crystal system: tetragonal
magnetization: 0.001 μB/f.u.



Here is a geometry-optimized RbInSe3 structure from Alexandria via LeMat-Bulk. Energies are from GGA-PBE.

a = 5.433 Å, b = 5.433 Å, c = 5.433 Å
α = 90.00°, β = 90.00°, γ = 90.00°
Positions (direct):
Rb: 0.000 0.000 0.000
In: 0.500 0.500 0.500
Se: 0.000 0.500 0.500
Se: 0.500 0.000 0.500
Se: 0.500 0.500 0.000

## Properties
formation energy from raw total energies: -305 meV/atom
crystal system: cubic
magnetization: 0.000 μB/f.u.



Here is a geometry-optimized NaP2S2 structure from Alexandria via LeMat-Bulk. Energies are from GGA-PBE.

a = 4.986 Å, b = 4.986 Å, c = 4.638 Å
α = 90.00°, β = 90.00°, γ = 90.00°
Positions (direct):
Na: 0.000 0.000 0.000
P: 0.000 0.500 0.000
P: 0.500 0.000 0.000
S: 0.000 0.000 0.500
S: 0.500 0.500 0.500

## Properties
formation energy from raw total energies: 1650 meV/atom
relative energy among the computed polymorphs: 1704 meV/atom
crystal system: tetragonal
magnetization: 1.073 μB/f.u.



Here is a geometry-optimized ZrMo2Ir structure from Alexandria via LeMat-Bulk. Energies are from GGA-PBE.

a = 5.267 Å, b = 5.267 Å, c = 4.724 Å
α = 104.78°, β = 104.78°, γ = 32.96°
Positions (direct):
Zr: 0.000 0.000 0.000
Mo: 0.235 0.235 0.718
Mo: 0.765 0.765 0.282
Ir: 0.500 0.500 0.500

## Properties
ΔH_f (0 K): -83 meV/atom
relative energy among the computed polymorphs: 113 meV/atom
crystal system: monoclinic
magnetization: 0.000 μB/f.u.



Here is a geometry-optimized NaPuCu2I8 structure from Alexandria via LeMat-Bulk. Energies are from GGA-PBE.

a = 8.534 Å, b = 8.534 Å, c = 8.534 Å
α = 106.31°, β = 106.31°, γ = 115.99°
Positions (direct):
Na: 0.000 0.000 0.000
Pu: 0.250 0.750 0.500
Cu: 0.500 0.500 0.000
Cu: 0.750 0.250 0.500
I: 0.318 0.122 0.804
I: 0.318 0.513 0.196
I: 0.371 0.050 0.321
I: 0.487 0.682 0.804
I: 0.730 0.050 0.679
I: 0.878 0.682 0.196
I: 0.950 0.270 0.321
I: 0.950 0.629 0.679

## Properties
formation energy from raw total energies: -537 meV/atom
crystal system: tetragonal
magnetization: 3.728 μB/f.u.



Here is a geometry-optimized CeMgZr7O16 structure from Alexandria via LeMat-Bulk. Energies are from GGA-PBE.

a = 7.484 Å, b = 7.484 Å, c = 5.433 Å
α = 93.73°, β = 93.73°, γ = 90.73°
Positions (direct):
Ce: 0.000 0.000 0.000
Mg: 0.260 0.740 0.000
Zr: 0.288 0.186 0.502
Zr: 0.309 0.691 0.500
Zr: 0.536 0.464 0.000
Zr: 0.545 0.005 0.996
Zr: 0.780 0.220 0.500
Zr: 0.814 0.712 0.498
Zr: 0.995 0.455 0.004
O: 0.036 0.695 0.794
O: 0.037 0.236 0.755
O: 0.039 0.242 0.289
O: 0.043 0.719 0.297
O: 0.276 0.504 0.134
O: 0.281 0.957 0.703
O: 0.305 0.964 0.206
O: 0.313 0.454 0.647
O: 0.496 0.724 0.866
O: 0.521 0.239 0.276
O: 0.525 0.218 0.773
O: 0.546 0.687 0.353
O: 0.758 0.961 0.711
O: 0.761 0.479 0.724
O: 0.764 0.963 0.245
O: 0.782 0.475 0.227

## Properties
formation energy from raw total energies: -3087 meV/atom
relative energy among the computed polymorphs: 39 meV/atom
crystal system: monoclinic
magnetization: 0.764 μB/f.u.



Here is a geometry-optimized AcAlGa2Pt4 structure from Alexandria via LeMat-Bulk. Energies are from GGA-PBE.

a = 9.456 Å, b = 9.456 Å, c = 9.456 Å
α = 26.63°, β = 26.63°, γ = 26.63°
Positions (direct):
Ac: 0.000 0.000 0.000
Al: 0.500 0.500 0.500
Ga: 0.240 0.240 0.240
Ga: 0.760 0.760 0.760
Pt: 0.138 0.138 0.138
Pt: 0.408 0.408 0.408
Pt: 0.592 0.592 0.592
Pt: 0.862 0.862 0.862

## Properties
ΔH_f (0 K): -920 meV/atom
crystal system: trigonal
magnetization: 0.000 μB/f.u.



Here is a geometry-optimized CePr7Sm4 structure from Alexandria via LeMat-Bulk. Energies are from GGA-PBE.

a = 7.338 Å, b = 5.197 Å, c = 11.025 Å
α = 90.00°, β = 90.22°, γ = 90.00°
Positions (direct):
Ce: 0.000 0.000 0.000
Pr: 0.000 0.000 0.330
Pr: 0.000 0.000 0.670
Pr: 0.246 0.500 0.164
Pr: 0.253 0.500 0.501
Pr: 0.500 0.000 0.000
Pr: 0.747 0.500 0.499
Pr: 0.754 0.500 0.836
Sm: 0.247 0.500 0.835
Sm: 0.500 0.000 0.333
Sm: 0.500 0.000 0.667
Sm: 0.753 0.500 0.165

## Properties
ΔH_f (0 K): 36 meV/atom
crystal system: monoclinic
magnetization: 1.073 μB/f.u.



Here is a geometry-optimized Li5In4Pb2 structure from Alexandria via LeMat-Bulk. Energies are from GGA-PBE.

a = 7.456 Å, b = 19.556 Å, c = 3.259 Å
α = 90.00°, β = 90.00°, γ = 90.00°
Positions (direct):
Li: 0.000 0.000 0.000
Li: 0.112 0.410 0.000
Li: 0.245 0.664 0.000
Li: 0.255 0.164 0.000
Li: 0.388 0.910 0.000
Li: 0.500 0.500 0.000
Li: 0.612 0.090 0.000
Li: 0.745 0.836 0.000
Li: 0.755 0.336 0.000
Li: 0.888 0.590 0.000
In: 0.070 0.878 0.500
In: 0.188 0.535 0.500
In: 0.312 0.035 0.500
In: 0.430 0.378 0.500
In: 0.570 0.622 0.500
In: 0.688 0.965 0.500
In: 0.812 0.465 0.500
In: 0.930 0.122 0.500
Pb: 0.075 0.278 0.500
Pb: 0.425 0.778 0.500
Pb: 0.575 0.222 0.500
Pb: 0.925 0.722 0.500

## Properties
ΔH_f (0 K): -230 meV/atom
crystal system: orthorhombic
magnetization: 0.000 μB/f.u.



Here is a geometry-optimized Lu2ThHg structure from Alexandria via LeMat-Bulk. Energies are from GGA-PBE.

a = 3.565 Å, b = 3.565 Å, c = 8.642 Å
α = 90.00°, β = 90.00°, γ = 90.00°
Positions (direct):
Lu: 0.000 0.000 0.223
Lu: 0.000 0.000 0.777
Th: 0.500 0.500 0.500
Hg: 0.500 0.500 0.000

## Properties
ΔH_f (0 K): -247 meV/atom
relative energy among the computed polymorphs: 0 meV/atom
crystal system: tetragonal
magnetization: 0.000 μB/f.u.



Here is a geometry-optimized TmZn10Pd2 structure from Alexandria via LeMat-Bulk. Energies are from GGA-PBE.

a = 8.758 Å, b = 6.788 Å, c = 6.740 Å
α = 80.69°, β = 49.89°, γ = 49.42°
Positions (direct):
Tm: 0.000 0.000 0.000
Zn: 0.000 0.000 0.500
Zn: 0.004 0.349 0.651
Zn: 0.285 0.501 0.499
Zn: 0.349 0.004 0.996
Zn: 0.499 0.715 0.285
Zn: 0.500 0.500 0.000
Zn: 0.501 0.285 0.715
Zn: 0.651 0.996 0.004
Zn: 0.715 0.499 0.501
Zn: 0.996 0.651 0.349
Pd: 0.000 0.500 0.000
Pd: 0.500 0.000 0.500

## Properties
ΔH_f (0 K): -283 meV/atom
crystal system: orthorhombic
magnetization: 0.000 μB/f.u.



Here is a geometry-optimized Hf2Ti4In structure from Alexandria via LeMat-Bulk. Energies are from GGA-PBE.

a = 7.857 Å, b = 7.857 Å, c = 7.857 Å
α = 142.96°, β = 142.96°, γ = 53.39°
Positions (direct):
Hf: 0.106 0.106 0.000
Hf: 0.894 0.894 0.000
Ti: 0.000 0.500 0.500
Ti: 0.309 0.309 0.000
Ti: 0.500 0.000 0.500
Ti: 0.691 0.691 0.000
In: 0.500 0.500 0.000

## Properties
ΔH_f (0 K): 1116 meV/atom
relative energy among the computed polymorphs: 1069 meV/atom
crystal system: tetragonal
magnetization: 6.198 μB/f.u.



Here is a geometry-optimized YEr2 structure from Alexandria via LeMat-Bulk. Energies are from GGA-PBE.

a = 6.522 Å, b = 6.522 Å, c = 6.522 Å
α = 60.00°, β = 60.00°, γ = 60.00°
Positions (direct):
Y: 0.125 0.125 0.125
Y: 0.875 0.875 0.875
Er: 0.000 0.500 0.500
Er: 0.500 0.000 0.500
Er: 0.500 0.500 0.000
Er: 0.500 0.500 0.500

## Properties
ΔH_f (0 K): 238 meV/atom
relative energy among the computed polymorphs: 237 meV/atom
crystal system: cubic
magnetization: 0.346 μB/f.u.



Here is a geometry-optimized Li2Ag3Hg structure from Alexandria via LeMat-Bulk. Energies are from GGA-PBE.

a = 6.645 Å, b = 6.645 Å, c = 9.297 Å
α = 115.10°, β = 115.10°, γ = 35.33°
Positions (direct):
Li: 0.032 0.032 0.364
Li: 0.297 0.297 0.639
Li: 0.703 0.703 0.361
Li: 0.968 0.968 0.636
Ag: 0.122 0.122 0.127
Ag: 0.208 0.208 0.873
Ag: 0.458 0.458 0.128
Ag: 0.542 0.542 0.872
Ag: 0.792 0.792 0.127
Ag: 0.878 0.878 0.873
Hg: 0.367 0.367 0.391
Hg: 0.633 0.633 0.609

## Properties
ΔH_f (0 K): -165 meV/atom
crystal system: monoclinic
magnetization: 0.000 μB/f.u.